## NaPPdO2 (PBE-GGA)

Data for a relaxed NaPPdO2 crystal.

Calculated values
The calculated volume comes out at 15.9 Å³/atom. The uncorrected formation energy is 0.112 eV/atom. As for the density of states at the Fermi level: 4.011 states/eV/cell.

a b c (Å): 4.087 4.087 4.757
angles (deg): 90.00 90.00 90.00
Fractional positions:
O: 0.000 0.500 0.000
Na: 0.500 0.500 0.500
O: 0.500 0.000 0.000
Pd: 0.000 0.000 0.000
P: 0.000 0.000 0.500